1.
A plane-wave DFT calculation with GGA-PBE was carried out for a geometry-optimized LaTi3Al structure.

Summary:
* density of states at the Fermi level: 1.61 states/eV per atom
* E_tot: -5.890 eV/atom
* DFT formation energy: 56 kJ/mol of atoms
* crystal system: cubic

Cell lengths 4.8949, 4.8949, 4.8949 Å; angles 90.00, 90.00, 90.00 degrees
With the nearest neighbours (Å) after each atom.
Space group Pm-3m (No. 221)
Asymmetric unit:
La1 0.0000 0.0000 0.0000 [1 per cell]  12 Ti 3.46
Ti1 0.0000 0.5000 0.5000 [3 per cell]  2 Al 2.45
Al1 0.5000 0.5000 0.5000 [1 per cell]  6 Ti 2.45

=====

2.
A plane-wave DFT calculation with GGA-PBE was carried out for a geometry-optimized Sm2HoPaRu2 structure.

Summary:
* density of states at the Fermi level: 1.16 states/eV per atom
* E_tot: -7.309 eV/atom
* DFT formation energy: -29 kJ/mol of atoms
* crystal system: orthorhombic

Cell lengths 6.8471, 13.5922, 6.7826 Å; angles 90.00, 90.00, 90.00 degrees
With the nearest neighbours (Å) after each atom.
Space group Ibam (No. 72)
Asymmetric unit:
Sm1 0.2211 0.1931 0.0000 [8 per cell]  1 Ru 2.86
Ho1 0.0000 0.5000 0.2500 [4 per cell]  4 Ru 2.94
Pa1 0.0000 0.0000 0.2500 [4 per cell]  4 Ru 2.60
Ru1 0.2105 0.0993 0.5000 [8 per cell]  2 Pa 2.60, 1 Sm 2.86

=====

3.
A plane-wave DFT calculation with GGA-PBE was carried out for a geometry-optimized Pu2TiPN5 structure.

Summary:
* density of states at the Fermi level: 1.58 states/eV per atom
* E_tot: -10.249 eV/atom
* crystal system: orthorhombic
* E_form (uncorrected): -0.9607 eV/atom

Cell lengths 3.0674, 13.6406, 10.3910 Å; angles 90.00, 90.00, 90.00 degrees
With the nearest neighbours (Å) after each atom.
Space group Cmc2_1 (No. 36)
Asymmetric unit:
Pu1 0.0000 0.1106 0.0000 [4 per cell]  6 N 2.34-2.59
Pu2 0.0000 0.1496 0.6577 [4 per cell]  7 N 2.38-2.53
Ti1 0.0000 0.2052 0.3684 [4 per cell]  3 N 1.91-2.04
P1 0.0000 0.4466 0.7523 [4 per cell]  4 N 1.62-1.79
N1 0.0000 0.0332 0.3369 [4 per cell]  2 P 1.79
N2 0.0000 0.2957 0.9981 [4 per cell]  2 Ti 2.04
N3 0.0000 0.3282 0.7217 [4 per cell]  1 P 1.65
N4 0.0000 0.3433 0.3406 [4 per cell]  1 Ti 1.91
N5 0.0000 0.4918 0.1194 [4 per cell]  1 P 1.62

=====

4.
A plane-wave DFT calculation with GGA-PBE was carried out for a geometry-optimized BaTl2Si structure.

Summary:
* density of states at the Fermi level: 0.44 states/eV per atom
* E_tot: -3.001 eV/atom
* crystal system: tetragonal
* E_form (uncorrected): 0.0183 eV/atom

Cell lengths 5.2468, 5.2468, 8.9560 Å; angles 90.00, 90.00, 90.00 degrees
With the nearest neighbours (Å) after each atom.
Space group I-4m2 (No. 119)
Asymmetric unit:
Ba1 0.0000 0.0000 0.0000 [2 per cell]  8 Tl 3.45-3.71, 4 Si 3.45
Tl1 0.0000 0.0000 0.5000 [2 per cell]  4 Tl 3.45, 4 Si 3.45, 4 Ba 3.71
Tl2 0.0000 0.5000 0.2500 [2 per cell]  4 Ba 3.45, 4 Tl 3.45, 4 Si 3.71
Si1 0.0000 0.5000 0.7500 [2 per cell]  4 Ba 3.45, 8 Tl 3.45-3.71

=====

5.
A plane-wave DFT calculation with GGA-PBE was carried out for a geometry-optimized LaTbIn structure.

Summary:
* density of states at the Fermi level: 0.79 states/eV per atom
* E_tot: -4.354 eV/atom
* DFT formation energy: -25 kJ/mol of atoms
* crystal system: trigonal

Cell lengths 5.3386, 5.3386, 3.7700 Å; angles 90.00, 90.00, 120.00 degrees
With the nearest neighbours (Å) after each atom.
Space group P3m1 (No. 156)
Asymmetric unit:
La1 0.0000 0.0000 0.0000 [1 per cell]  3 In 3.41, 6 Tb 3.49-3.74, 2 La 3.77
Tb1 0.6667 0.3333 0.5639 [1 per cell]  3 In 3.15, 3 La 3.49
In1 0.3333 0.6667 0.3865 [1 per cell]  3 Tb 3.15, 3 La 3.41

=====

6.
A plane-wave DFT calculation with GGA-PBE was carried out for a geometry-optimized SrReTcP2 structure.

Summary:
* density of states at the Fermi level: 0.92 states/eV per atom
* E_tot: -7.674 eV/atom
* DFT formation energy: -59 kJ/mol of atoms
* crystal system: tetragonal

Cell lengths 4.0951, 4.0951, 11.2924 Å; angles 90.00, 90.00, 90.00 degrees
With the nearest neighbours (Å) after each atom.
Space group I-4m2 (No. 119)
Asymmetric unit:
Sr1 0.0000 0.0000 0.0000 [2 per cell]  8 P 3.32, 4 Tc 3.49, 4 Re 3.49
Re1 0.0000 0.5000 0.2500 [2 per cell]  4 P 2.37
Tc1 0.0000 0.5000 0.7500 [2 per cell]  4 P 2.37
P1 0.0000 0.0000 0.3558 [4 per cell]  2 Re 2.37, 2 Tc 2.37

=====

7.
A plane-wave DFT calculation with GGA-PBE was carried out for a geometry-optimized TbErCoOs structure.

Summary:
* density of states at the Fermi level: 0.97 states/eV per atom
* E_tot: -7.015 eV/atom
* DFT formation energy: -13 kJ/mol of atoms
* crystal system: cubic

Cell lengths 6.7411, 6.7411, 6.7411 Å; angles 90.00, 90.00, 90.00 degrees
With the nearest neighbours (Å) after each atom.
Space group F-43m (No. 216)
Asymmetric unit:
Tb1 0.0000 0.0000 0.0000 [4 per cell]  4 Co 2.92, 4 Os 2.92
Er1 0.0000 0.0000 0.5000 [4 per cell]  4 Os 2.92, 4 Co 2.92
Co1 0.2500 0.2500 0.7500 [4 per cell]  4 Tb 2.92, 4 Er 2.92
Os1 0.2500 0.2500 0.2500 [4 per cell]  4 Tb 2.92, 4 Er 2.92

=====

8.
A plane-wave DFT calculation with GGA-PBE was carried out for a geometry-optimized AcErRe structure.

Summary:
* density of states at the Fermi level: 1.09 states/eV per atom
* E_tot: -6.640 eV/atom
* DFT formation energy: 39 kJ/mol of atoms
* crystal system: monoclinic

Cell lengths 6.6533, 4.2067, 14.3740 Å; angles 90.00, 97.59, 90.00 degrees
With the nearest neighbours (Å) after each atom.
Space group Cm (No. 8)
Asymmetric unit:
Ac1 0.0000 0.0000 0.0000 [2 per cell]  4 Re 3.16-3.46
Ac2 0.0386 0.5000 0.5995 [2 per cell]  4 Re 3.16-3.46
Er1 0.1176 0.0000 0.3880 [2 per cell]  3 Er 3.42-3.44, 2 Ac 3.79
Er2 0.4202 0.0000 0.2114 [2 per cell]  3 Er 3.42-3.44, 2 Ac 3.79
Re1 0.1037 0.5000 0.8214 [2 per cell]  3 Re 2.37-2.42
Re2 0.4356 0.5000 0.7781 [2 per cell]  3 Re 2.37-2.42

=====

9.
A plane-wave DFT calculation with GGA-PBE was carried out for a geometry-optimized Li3SbAu structure.

Summary:
* density of states at the Fermi level: 0.56 states/eV per atom
* E_tot: -2.859 eV/atom
* crystal system: cubic
* E_form (uncorrected): -0.2310 eV/atom

Cell lengths 4.7807, 4.7807, 4.7807 Å; angles 90.00, 90.00, 90.00 degrees
With the nearest neighbours (Å) after each atom.
Space group Pm-3m (No. 221)
Asymmetric unit:
Li1 0.0000 0.0000 0.5000 [3 per cell]  2 Au 2.39
Sb1 0.5000 0.5000 0.5000 [1 per cell]  12 Li 3.38
Au1 0.0000 0.0000 0.0000 [1 per cell]  6 Li 2.39

=====

10.
A plane-wave DFT calculation with GGA-PBE was carried out for a geometry-optimized InSiPb2N structure.

Summary:
* density of states at the Fermi level: 0.74 states/eV per atom
* E_tot: -3.660 eV/atom
* crystal system: tetragonal
* E_form (uncorrected): 1.1211 eV/atom

Cell lengths 5.9923, 5.9923, 3.8846 Å; angles 90.00, 90.00, 90.00 degrees
With the nearest neighbours (Å) after each atom.
Space group P4/mmm (No. 123)
Asymmetric unit:
In1 0.0000 0.0000 0.0000 [1 per cell]  2 N 1.94
Si1 0.5000 0.5000 0.5000 [1 per cell]  8 Pb 3.57, 2 Si 3.88
Pb1 0.0000 0.5000 0.0000 [2 per cell]  2 In 3.00
N1 0.0000 0.0000 0.5000 [1 per cell]  2 In 1.94

=====

11.
A plane-wave DFT calculation with GGA-PBE was carried out for a geometry-optimized Th2PaCu structure.

Summary:
* density of states at the Fermi level: 1.66 states/eV per atom
* E_tot: -7.032 eV/atom
* DFT formation energy: 7 kJ/mol of atoms
* crystal system: tetragonal

Cell lengths 3.4634, 3.4634, 8.6419 Å; angles 90.00, 90.00, 90.00 degrees
With the nearest neighbours (Å) after each atom.
Space group P4/mmm (No. 123)
Asymmetric unit:
Th1 0.0000 0.0000 0.2176 [2 per cell]  4 Cu 3.09, 4 Pa 3.46
Pa1 0.5000 0.5000 0.5000 [1 per cell]  8 Th 3.46, 4 Pa 3.46
Cu1 0.5000 0.5000 0.0000 [1 per cell]  8 Th 3.09

=====

12.
A plane-wave DFT calculation with GGA-PBE was carried out for a geometry-optimized TiSi6Mo2 structure.

Summary:
* density of states at the Fermi level: 0.42 states/eV per atom
* E_tot: -7.408 eV/atom
* crystal system: orthorhombic
* E_form (uncorrected): -0.5088 eV/atom

Cell lengths 4.7025, 8.0980, 6.4862 Å; angles 90.00, 90.00, 90.00 degrees
With the nearest neighbours (Å) after each atom.
Space group C222 (No. 21)
Asymmetric unit:
Ti1 0.0000 0.0000 0.0000 [2 per cell]  10 Si 2.55-2.77
Si1 0.0000 0.3426 0.0000 [4 per cell]  5 Si 2.51-2.79, 2 Mo 2.57, 3 Ti 2.67-2.77
Si2 0.2436 0.4177 0.3314 [8 per cell]  5 Si 2.51-2.76, 1 Ti 2.55, 4 Mo 2.57-2.74
Mo1 0.2500 0.2500 0.6680 [4 per cell]  10 Si 2.57-2.74

=====

What is the E_tot in the fourth record?
-3.001 eV/atom